[1]
Density functional theory data (PBE) for Ba3Sb4Pt4 after structural relaxation.

Cell lengths 4.7500, 4.9347, 13.5785 Å; angles 100.44, 100.01, 90.05 degrees
Space group P-1 (No. 2)
Asymmetric unit:
Ba 0.0000 0.0000 0.0000 (multiplicity 1)
Ba 0.3549 0.8549 0.7102 (multiplicity 2)
Sb 0.0982 0.5983 0.1958 (multiplicity 2)
Sb 0.2485 0.2484 0.4970 (multiplicity 2)
Pt 0.2020 0.7021 0.4034 (multiplicity 2)
Pt 0.4472 0.4487 0.8957 (multiplicity 2)

- Formation energy from raw total energies: -0.852 eV per atom
- Theoretical density: 9.1 g cm⁻³

[2]
Density functional theory data (PBE) for La2CeCo2 after structural relaxation.

Cell lengths 10.5818, 6.4089, 6.9752 Å; angles 90.00, 97.32, 90.00 degrees
Space group C2/c (No. 15)
Asymmetric unit:
La 0.1531 0.1147 0.1526 (multiplicity 8)
Ce 0.0000 0.4162 0.7500 (multiplicity 4)
Co 0.1481 0.3464 0.5263 (multiplicity 8)

- Formation energy: -0.17 eV/atom
- Energy relative to the lowest polymorph listed for this composition: 0.0 meV/atom
- Theoretical density: 7.6 g cm⁻³

[3]
Density functional theory data (PBE) for SmU2Ru4 after structural relaxation.

Cell lengths 8.0272, 8.0272, 4.2143 Å; angles 90.00, 90.00, 90.00 degrees
Space group P4_2/mnm (No. 136)
Asymmetric unit:
Sm 0.0000 0.0000 0.0000 (multiplicity 2)
U 0.2385 0.2385 0.5000 (multiplicity 4)
Ru 0.1028 0.6559 0.5000 (multiplicity 8)

- Formation energy: -0.05 eV/atom
- Theoretical density: 12.6 g cm⁻³

[4]
Density functional theory data (PBE) for KNdAs2Pd4 after structural relaxation.

Cell lengths 4.1311, 4.1311, 10.9410 Å; angles 90.00, 90.00, 90.00 degrees
Space group P4/mmm (No. 123)
Asymmetric unit:
K 0.0000 0.0000 0.0000 (multiplicity 1)
Nd 0.0000 0.0000 0.5000 (multiplicity 1)
As 0.5000 0.5000 0.1786 (multiplicity 2)
Pd 0.0000 0.5000 0.3018 (multiplicity 4)

- Formation energy: -0.52 eV/atom
- Theoretical density: 6.7 g cm⁻³

[5]
Density functional theory data (PBE) for Pm5MnGe6 after structural relaxation.

Cell lengths 6.0828, 13.9240, 7.1270 Å; angles 90.00, 110.96, 90.00 degrees
Space group C2/m (No. 12)
Asymmetric unit:
Pm 0.0000 0.0000 0.0000 (multiplicity 2)
Pm 0.0000 0.2966 0.0000 (multiplicity 4)
Pm 0.0000 0.3555 0.5000 (multiplicity 4)
Mn 0.0000 0.0000 0.5000 (multiplicity 2)
Ge 0.0349 0.1517 0.6953 (multiplicity 8)
Ge 0.0584 0.5000 0.2008 (multiplicity 4)

- Formation energy: -0.62 eV/atom
- Theoretical density: 7.2 g cm⁻³

[6]
Density functional theory data (PBE) for Ac8NiAs3I4 after structural relaxation.

Cell lengths 9.1273, 9.1273, 24.2830 Å; angles 90.00, 90.00, 120.00 degrees
Space group R-3m (No. 166, hexagonal axes)
Asymmetric unit:
Ac 0.0000 0.0000 0.2346 (multiplicity 6)
Ac 0.0189 0.5094 0.2319 (multiplicity 18)
Ni 0.0000 0.0000 0.5000 (multiplicity 3)
As 0.0000 0.5000 0.5000 (multiplicity 9)
I 0.0000 0.0000 0.0000 (multiplicity 3)
I 0.0000 0.5000 0.0000 (multiplicity 9)

- Formation energy from raw total energies: -1.117 eV per atom
- Theoretical density: 7.4 g cm⁻³

[7]
Density functional theory data (PBE) for CeSm2Y3 after structural relaxation.

Cell lengths 3.6032, 18.6772, 11.6337 Å; angles 90.00, 90.00, 90.00 degrees
Space group Cmcm (No. 63)
Asymmetric unit:
Ce 0.0000 0.0551 0.2500 (multiplicity 4)
Sm 0.0000 0.2783 0.7500 (multiplicity 4)
Sm 0.0000 0.5000 0.0000 (multiplicity 4)
Y 0.0000 0.1666 0.5007 (multiplicity 8)
Y 0.0000 0.3898 0.2500 (multiplicity 4)

- Formation energy: 0.05 eV/atom
- Energy relative to the lowest polymorph listed for this composition: 0.0 meV/atom
- Theoretical density: 6.0 g cm⁻³

[8]
Density functional theory data (PBE) for CoAg2BiOs after structural relaxation.

Cell lengths 4.7680, 4.7680, 4.7337 Å; angles 90.00, 90.00, 90.00 degrees
Space group P4/mmm (No. 123)
Asymmetric unit:
Co 0.0000 0.0000 0.0000 (multiplicity 1)
Ag 0.0000 0.5000 0.0000 (multiplicity 2)
Bi 0.0000 0.0000 0.5000 (multiplicity 1)
Os 0.5000 0.5000 0.5000 (multiplicity 1)

- Formation energy: 1.52 eV/atom
- Theoretical density: 10.4 g cm⁻³

[9]
Density functional theory data (PBE) for Na2LaRhPb after structural relaxation.

Cell lengths 5.4447, 5.4447, 5.1548 Å; angles 90.00, 90.00, 90.00 degrees
Space group P4/mmm (No. 123)
Asymmetric unit:
Na 0.0000 0.5000 0.0000 (multiplicity 2)
La 0.0000 0.0000 0.5000 (multiplicity 1)
Rh 0.0000 0.0000 0.0000 (multiplicity 1)
Pb 0.5000 0.5000 0.5000 (multiplicity 1)

- Formation energy: 0.00 eV/atom
- Theoretical density: 5.4 g cm⁻³

[10]
Density functional theory data (PBE) for Ba2IrO5 after structural relaxation.

Cell lengths 6.1953, 6.1953, 7.6500 Å; angles 90.00, 90.00, 90.00 degrees
Space group I4mm (No. 107)
Asymmetric unit:
Ba 0.0000 0.5000 0.0000 (multiplicity 4)
Ir 0.0000 0.0000 0.2612 (multiplicity 2)
O 0.0000 0.0000 0.5019 (multiplicity 2)
O 0.2179 0.2179 0.2219 (multiplicity 8)

- Formation energy from raw total energies: -1.671 eV per atom
- Energy relative to the lowest polymorph listed for this composition: 125.8 meV/atom
- Theoretical density: 6.2 g cm⁻³

[11]
Density functional theory data (PBE) for KTeS2 after structural relaxation.

Cell lengths 8.5396, 6.6284, 8.9641 Å; angles 90.00, 90.25, 90.00 degrees
Space group P2_1/c (No. 14)
Asymmetric unit:
K 0.1456 0.2491 0.1101 (multiplicity 4)
Te 0.3541 0.7495 0.3043 (multiplicity 4)
S 0.1330 0.7490 0.1394 (multiplicity 4)
S 0.4278 0.2491 0.3495 (multiplicity 4)

- Formation energy from raw total energies: -0.489 eV per atom
- Theoretical density: 3.0 g cm⁻³

[12]
Density functional theory data (PBE) for CaScSn6 after structural relaxation.

Cell lengths 4.7331, 4.7331, 9.2282 Å; angles 90.00, 90.00, 90.00 degrees
Space group P4/mmm (No. 123)
Asymmetric unit:
Ca 0.0000 0.0000 0.0000 (multiplicity 1)
Sc 0.0000 0.0000 0.5000 (multiplicity 1)
Sn 0.0000 0.5000 0.2587 (multiplicity 4)
Sn 0.5000 0.5000 0.0000 (multiplicity 1)
Sn 0.5000 0.5000 0.5000 (multiplicity 1)

- Formation energy: -0.34 eV/atom
- Theoretical density: 6.4 g cm⁻³